! PBE+U Sr3CrP2O8, relaxed; values from VASP
&SYSTEM
  ibrav = 0, nat = 14, ntyp = 4
/
ATOMIC_SPECIES
Sr 87.62 Sr.upf
Cr 52.00 Cr.upf
P 30.97 P.upf
O 16.00 O.upf
CELL_PARAMETERS angstrom
5.4502 0.0000 0.0000
-2.7251 4.7200 0.0000
0.0000 0.0000 8.7079
ATOMIC_POSITIONS angstrom
Sr 0.0000 0.0000 0.0000
Sr 0.0000 3.1467 6.2944
Sr 2.7251 1.5733 2.4134
Cr 0.0000 0.0000 4.3539
P 0.0000 3.1467 1.5053
P 2.7251 1.5733 7.2026
O 0.0000 1.6789 2.0294
O -1.2711 3.8805 2.0294
O 0.0000 3.1467 8.6607
O 1.4540 0.8395 6.6785
O 1.2711 3.8805 2.0294
O 2.7251 1.5733 0.0471
O 3.9962 0.8395 6.6785
O 2.7251 3.0411 6.6785
! Spin magnetization ... 5.7 μB/cell
! Raw total energy ... -6.914 eV/atom